VASP calculation (PBE+U) on CsNpNiO6 after structural relaxation.

Computed properties:
M_tot: 0.00 Bohr magnetons per cell
E: -6.8099 eV per atom

```
CsNpNiO6
1.0
-4.068 -1.813 -2.707
0.254 -4.692 -2.255
-2.502 -2.864 5.678
Cs Np Ni O
1 1 1 6
Cartesian
-6.569 -4.678 2.971
-3.793 -5.769 -0.469
-2.522 -3.601 1.185
-0.837 -2.736 1.065
-3.135 -2.635 2.700
-4.052 -4.722 1.243
-1.564 -4.800 2.300
-2.194 -4.530 -0.437
-3.351 -2.180 0.238
```